NbB | GGA-PBE | optimized geometry

Cell lengths 6.912, 6.912, 6.912 Å; angles 90.00, 90.00, 90.00 degrees
Space group I-43m (No. 217)
Symmetry-distinct sites (fractional):
Nb  0.159  0.159  0.841
B  0.153  0.153  0.153

Results
ΔE_f (eV/atom): 0.78